1.
A relaxed LaBeIr crystal. Source: Alexandria, functional PBE.

Cell lengths 11.318, 3.132, 3.131 Å; angles 90.00, 105.84, 90.00 degrees
Space group Cm (No. 8)
Inequivalent atoms, fractional coordinates:
1 La 0.000 0.000 0.000 [2 per cell]
2 Be 0.218 0.500 0.718 [2 per cell]
3 Ir 0.293 0.000 0.292 [2 per cell]

Computed properties:
**Density**: 10.580 g cm⁻³
**M_tot**: 0.000 μB per atom
**Relative energy among the computed polymorphs**: 0.253 eV per atom
**V**: 106.8 Å³ per cell
**E_form**: -0.32 eV per atom
**DOS at the Fermi energy**: 0.768 states/eV/atom

=====

2.
A relaxed TbHoAsSe crystal. Source: Alexandria, functional PBE.

Cell lengths 4.0285, 4.0285, 21.2004 Å; angles 90.00, 90.00, 120.00 degrees
Space group R3m (No. 160, hexagonal axes)
Inequivalent atoms, fractional coordinates:
1 Tb 0.0000 0.0000 0.0000 [3 per cell]
2 Ho 0.0000 0.0000 0.8199 [3 per cell]
3 As 0.0000 0.0000 0.4125 [3 per cell]
4 Se 0.0000 0.0000 0.2412 [3 per cell]

Computed properties:
**Density**: 7.988 g cm⁻³
**Energy relative to the elements, uncorrected**: -1636 meV/atom
**M_tot**: 0.000 μB per atom
**V**: 297.9 Å³ per cell
**DOS at the Fermi energy**: 0.679 states/eV/atom